1.
VASP calculation (PBE) on crystalline BeRhCl at its relaxed geometry.

The structure in extended XYZ format:
```
6
Lattice="-0.181 4.864 -6.843 2.384 -2.017 -0.741 -2.418 -2.285 -1.560" Properties=species:S:1:pos:R:3 pbc="T T T"
Cl -0.311 -0.551 -0.815
Cl -0.889 0.704 -6.087
Be 0.460 -1.515 -4.933
Be 1.498 -1.011 -2.955
Rh -0.951 -1.277 -3.090
Rh 0.502 0.792 -4.046
```

Space group ... No. 1
Theoretical density ... 5.04 g/cm3
Excess energy over the best structure of this formula in the dataset ... 0.0042 eV/atom
Total energy ... -4.867 eV/atom
Total moment ... 0.0 μB per formula unit
Energy relative to the elements, uncorrected ... -0.56 eV per atom

2.
VASP calculation (PBE) on crystalline Be2RhCl at its relaxed geometry.

The structure in extended XYZ format:
```
4
Lattice="-3.149 5.088 -0.018 0.746 -2.245 3.449 1.129 2.304 1.258" Properties=species:S:1:pos:R:3 pbc="T T T"
Be 0.000 0.000 0.000
Be -1.010 3.696 0.620
Cl 0.937 0.030 2.353
Rh -1.202 1.422 1.716
```

Space group ... No. 65
Theoretical density ... 5.31 g/cm3
Excess energy over the best structure of this formula in the dataset ... 0.6278 eV/atom
Total energy ... -4.010 eV/atom
Total moment ... 0.0 μB per formula unit
Energy relative to the elements, uncorrected ... 0.15 eV per atom

3.
VASP calculation (PBE) on crystalline BeRhCl at its relaxed geometry.

The structure in extended XYZ format:
```
6
Lattice="9.958 -0.021 0.026 -0.269 3.087 0.005 0.265 0.038 3.088" Properties=species:S:1:pos:R:3 pbc="T T T"
Cl 6.825 2.793 2.376
Cl 0.234 1.658 0.392
Be 5.366 2.167 0.933
Be 1.960 0.252 2.865
Rh 2.664 1.827 1.188
Rh 4.659 0.505 2.524
```

Space group ... No. 5
Theoretical density ... 5.16 g/cm3
Excess energy over the best structure of this formula in the dataset ... 0.1807 eV/atom
Total energy ... -4.691 eV/atom
Total moment ... 0.6 μB per formula unit
Energy relative to the elements, uncorrected ... -0.38 eV per atom

4.
VASP calculation (PBE) on crystalline BeRh2Cl at its relaxed geometry.

The structure in extended XYZ format:
```
4
Lattice="-0.834 1.798 -2.028 1.631 -1.415 -1.926 -1.994 -6.904 -5.301" Properties=species:S:1:pos:R:3 pbc="T T T"
Be -0.508 -1.181 -2.821
Rh -0.300 -3.582 -3.052
Rh 0.119 -0.578 -0.561
Cl -0.689 -5.341 -6.434
```

Space group ... No. 47
Theoretical density ... 7.44 g/cm3
Excess energy over the best structure of this formula in the dataset ... 0.1768 eV/atom
Total energy ... -5.181 eV/atom
Total moment ... 0.0 μB per formula unit
Energy relative to the elements, uncorrected ... -0.11 eV per atom

5.
VASP calculation (PBE) on crystalline BeRhCl at its relaxed geometry.

The structure in extended XYZ format:
```
3
Lattice="3.956 0.000 0.000 1.978 3.426 0.000 1.978 1.142 3.230" Properties=species:S:1:pos:R:3 pbc="T T T"
Be 5.935 3.426 2.423
Cl 0.000 0.000 0.000
Rh 3.956 2.284 1.615
```

Space group ... No. 216
Theoretical density ... 5.59 g/cm3
Excess energy over the best structure of this formula in the dataset ... 1.0658 eV/atom
Total energy ... -3.805 eV/atom
Total moment ... 0.0 μB per formula unit
Energy relative to the elements, uncorrected ... 0.50 eV per atom

6.
VASP calculation (PBE) on crystalline BeRhCl at its relaxed geometry.

The structure in extended XYZ format:
```
3
Lattice="0.000 2.835 2.835 2.835 0.000 2.835 2.835 2.835 0.000" Properties=species:S:1:pos:R:3 pbc="T T T"
Rh 2.835 2.835 2.835
Cl 1.417 1.417 1.417
Be 4.252 4.252 4.252
```

Space group ... No. 216
Theoretical density ... 5.37 g/cm3
Excess energy over the best structure of this formula in the dataset ... 0.9433 eV/atom
Total energy ... -3.928 eV/atom
Total moment ... 0.0 μB per formula unit
Energy relative to the elements, uncorrected ... 0.38 eV per atom

What is the formula in the first record?
BeRhCl

What is the excess energy over the best structure of this formula in the dataset in the third record?
0.1807 eV/atom